Sm2YB2Pd2N3 | OQMD via LeMat-Bulk | PBE | relaxed; symmetry = I4/mmm; ρ = 7.97 g/cm3; DFT total energy = -75.9 eV per formula unit
1.0
-1.844 1.844 10.201
1.844 -1.844 10.201
1.844 1.844 -10.201
Y N Sm Pd B
1 3 2 2 2
Direct
0.000 0.000 0.000
0.885 0.885 0.000
0.500 0.500 0.000
0.115 0.115 0.000
0.619 0.619 0.000
0.381 0.381 0.000
0.750 0.250 0.500
0.250 0.750 0.500
0.185 0.185 0.000
0.815 0.815 0.000


CdIn2Ga | OQMD via LeMat-Bulk | PBE | relaxed; symmetry = P222_1; ρ = 6.96 g/cm3; DFT total energy = -9.1 eV per formula unit
1.0
-3.475 -3.422 -2.590
2.257 -4.358 2.729
-4.213 0.743 4.671
Cd In Ga
2 4 2
Direct
0.000 0.494 0.250
0.000 0.506 0.750
0.499 0.500 0.000
0.500 0.000 0.750
0.501 0.500 0.500
0.500 0.000 0.250
0.999 0.000 0.000
0.001 0.000 0.500


What is the formula in the second record?
CdIn2Ga


Look up the DFT total energy of the first one.
-75.9 eV per formula unit


What is the formula in the second record?
CdIn2Ga